Entry 1:
GGA+U KNaMn2F6, relaxed; calculated density = 3.3 Mg/m³; calculated volume = 14.4 Å³ per atom; space group = Cm; E = -5.5903 eV per atom
1.0
-0.5863 3.0287 4.9955
-5.3612 1.4159 2.0035
-2.0402 -2.6833 4.7849
Mn F K Na
2 6 1 1
direct
0.0141 0.0174 0.9530
0.5169 0.5146 0.4502
0.8236 0.7082 0.1711
0.8478 0.2241 0.6233
0.6471 0.2704 0.1971
0.2277 0.8446 0.2436
0.2350 0.2968 0.7594
0.3380 0.7239 0.7439
0.7740 0.7695 0.6980
0.2374 0.2921 0.1757

***

Entry 2:
GGA+U KNa2MnF8, relaxed; calculated density = 2.6 Mg/m³; calculated volume = 15.4 Å³ per atom; space group = P-1; E = -4.5508 eV per atom
1.0
-2.4266 -3.7112 2.2706
-0.0376 -2.4839 -4.2866
6.5035 -3.2809 1.7007
F Na K Mn
8 2 1 1
direct
0.4587 0.3012 0.5012
0.1596 0.8018 0.8229
0.7054 0.7692 0.9943
0.1440 0.7876 0.1794
0.8560 0.2124 0.8206
0.5413 0.6988 0.4988
0.8404 0.1982 0.1771
0.2946 0.2308 0.0057
0.4978 0.4961 0.7828
0.5022 0.5039 0.2172
0.0000 0.0000 0.5000
0.0000 0.0000 0.0000

***

> Which value of E does entry 1 give?

-5.5903 eV per atom

***

Please write out number 1 again, unchanged.
GGA+U KNaMn2F6, relaxed; calculated density = 3.3 Mg/m³; calculated volume = 14.4 Å³ per atom; space group = Cm; E = -5.5903 eV per atom
1.0
-0.5863 3.0287 4.9955
-5.3612 1.4159 2.0035
-2.0402 -2.6833 4.7849
Mn F K Na
2 6 1 1
direct
0.0141 0.0174 0.9530
0.5169 0.5146 0.4502
0.8236 0.7082 0.1711
0.8478 0.2241 0.6233
0.6471 0.2704 0.1971
0.2277 0.8446 0.2436
0.2350 0.2968 0.7594
0.3380 0.7239 0.7439
0.7740 0.7695 0.6980
0.2374 0.2921 0.1757

***

Please write out number 1 again, unchanged.
GGA+U KNaMn2F6, relaxed; calculated density = 3.3 Mg/m³; calculated volume = 14.4 Å³ per atom; space group = Cm; E = -5.5903 eV per atom
1.0
-0.5863 3.0287 4.9955
-5.3612 1.4159 2.0035
-2.0402 -2.6833 4.7849
Mn F K Na
2 6 1 1
direct
0.0141 0.0174 0.9530
0.5169 0.5146 0.4502
0.8236 0.7082 0.1711
0.8478 0.2241 0.6233
0.6471 0.2704 0.1971
0.2277 0.8446 0.2436
0.2350 0.2968 0.7594
0.3380 0.7239 0.7439
0.7740 0.7695 0.6980
0.2374 0.2921 0.1757